1.
Below is RbErCdO3 after structural relaxation, with properties calculated at the PBE level.

For the total energy, the calculation gives -5.592 eV/atom. Its crystal system is orthorhombic.

The space group is Cmcm (No. 63) and the conventional cell measures 3.5415, 13.5203 and 9.1305 Å, with angles of 90.00, 90.00 and 90.00 degrees. The distinct sites, in fractional coordinates, are Rb at (0.0000, 0.1905, 0.2500), Er at (0.0000, 0.5000, 0.0000), Cd at (0.0000, 0.0905, 0.7500), O at (0.0000, 0.1066, 0.5223) and O at (0.0000, 0.4781, 0.7500).

***

2.
Below is ErTlCdO3 after structural relaxation, with properties calculated at the PBE level.

For the total energy, the calculation gives -5.655 eV/atom. Its crystal system is orthorhombic.

The space group is Cmcm (No. 63) and the conventional cell measures 3.4659, 13.8265 and 8.6274 Å, with angles of 90.00, 90.00 and 90.00 degrees. The distinct sites, in fractional coordinates, are Er at (0.0000, 0.0000, 0.0000), Tl at (0.0000, 0.3388, 0.2500), Cd at (0.0000, 0.3323, 0.7500), O at (0.0000, 0.0470, 0.7500) and O at (0.0000, 0.3977, 0.5300).

***

3.
Below is Er2Cd3Pb3 after structural relaxation, with properties calculated at the PBE level.

For the total energy, the calculation gives -3.155 eV/atom. Its crystal system is orthorhombic.

The space group is Pmmm (No. 47) and the conventional cell measures 4.6355, 4.9190 and 9.0074 Å, with angles of 90.00, 90.00 and 90.00 degrees. The distinct sites, in fractional coordinates, are Er at (0.0000, 0.0000, 0.2493), Cd at (0.0000, 0.5000, 0.5000), Cd at (0.5000, 0.5000, 0.2622), Pb at (0.0000, 0.5000, 0.0000), Pb at (0.5000, 0.0000, 0.0000) and Pb at (0.5000, 0.0000, 0.5000).

***

4.
Below is ErCdPd after structural relaxation, with properties calculated at the PBE level.

For the total energy, the calculation gives -3.657 eV/atom. The calculation puts the formation energy at -0.112 eV per atom. Its crystal system is cubic.

The space group is F-43m (No. 216) and the conventional cell measures 6.7380, 6.7380 and 6.7380 Å, with angles of 90.00, 90.00 and 90.00 degrees. The distinct sites, in fractional coordinates, are Er at (0.0000, 0.0000, 0.0000), Cd at (0.2500, 0.2500, 0.7500) and Pd at (0.2500, 0.2500, 0.2500).

***

5.
Below is ErCdPd after structural relaxation, with properties calculated at the PBE level.

For the total energy, the calculation gives -4.123 eV/atom. The calculation puts the formation energy at -0.578 eV per atom. Its crystal system is cubic.

The space group is F-43m (No. 216) and the conventional cell measures 6.6129, 6.6129 and 6.6129 Å, with angles of 90.00, 90.00 and 90.00 degrees. The distinct sites, in fractional coordinates, are Er at (0.0000, 0.0000, 0.0000), Cd at (0.0000, 0.0000, 0.5000) and Pd at (0.2500, 0.2500, 0.7500).

***

6.
Below is PrErCd after structural relaxation, with properties calculated at the PBE level.

For the total energy, the calculation gives -2.928 eV/atom. The calculation puts the formation energy at 0.483 eV per atom. Its crystal system is cubic.

The space group is F-43m (No. 216) and the conventional cell measures 7.3107, 7.3107 and 7.3107 Å, with angles of 90.00, 90.00 and 90.00 degrees. The distinct sites, in fractional coordinates, are Pr at (0.0000, 0.0000, 0.0000), Er at (0.2500, 0.2500, 0.2500) and Cd at (0.2500, 0.2500, 0.7500).

***

7.
Below is PrErCd6 after structural relaxation, with properties calculated at the PBE level.

For the total energy, the calculation gives -2.122 eV/atom. The calculation puts the formation energy at -0.283 eV per atom. The calculation puts the excess energy over the best structure of this formula in the dataset at 0.05 eV/f.u. Its crystal system is orthorhombic.

The space group is Amm2 (No. 38) and the conventional cell measures 4.8568, 7.2087 and 10.7970 Å, with angles of 90.00, 90.00 and 90.00 degrees. The distinct sites, in fractional coordinates, are Pr at (0.0000, 0.0000, 0.0000), Er at (0.5000, 0.0000, 0.7298), Cd at (0.0000, 0.0000, 0.5436), Cd at (0.0000, 0.2153, 0.2704), Cd at (0.5000, 0.0000, 0.1959) and Cd at (0.5000, 0.2109, 0.4595).

***

8.
Below is PrErCd4 after structural relaxation, with properties calculated at the PBE level.

For the total energy, the calculation gives -2.480 eV/atom. The calculation puts the formation energy at -0.327 eV per atom. Its crystal system is monoclinic.

The space group is P2/m (No. 10) and the conventional cell measures 3.3858, 4.9925 and 8.6802 Å, with angles of 90.00, 90.02 and 90.00 degrees. The distinct sites, in fractional coordinates, are Pr at (0.0000, 0.0000, 0.0000), Er at (0.0000, 0.5000, 0.5000), Cd at (0.4964, 0.0000, 0.6612) and Cd at (0.4967, 0.5000, 0.1730).

***

9.
Below is PrErCd6 after structural relaxation, with properties calculated at the PBE level.

For the total energy, the calculation gives -2.128 eV/atom. The calculation puts the formation energy at -0.289 eV per atom. The calculation puts the excess energy over the best structure of this formula in the dataset at 0.00 eV/f.u. Its crystal system is tetragonal.

The space group is P4/mmm (No. 123) and the conventional cell measures 5.0853, 5.0853 and 7.2728 Å, with angles of 90.00, 90.00 and 90.00 degrees. The distinct sites, in fractional coordinates, are Pr at (0.0000, 0.0000, 0.0000), Er at (0.5000, 0.5000, 0.5000), Cd at (0.0000, 0.0000, 0.5000), Cd at (0.0000, 0.5000, 0.2586) and Cd at (0.5000, 0.5000, 0.0000).

***

10.
Below is PrEr2Tl2Cd4 after structural relaxation, with properties calculated at the PBE level.

For the total energy, the calculation gives -2.794 eV/atom. Its crystal system is orthorhombic.

The space group is Amm2 (No. 38) and the conventional cell measures 4.6223, 13.2618 and 7.4968 Å, with angles of 90.00, 90.00 and 90.00 degrees. The distinct sites, in fractional coordinates, are Pr at (0.0000, 0.0000, 0.0000), Er at (0.0000, 0.2132, 0.6369), Tl at (0.5000, 0.1709, 0.9241), Cd at (0.0000, 0.0000, 0.4372), Cd at (0.5000, 0.0000, 0.6676) and Cd at (0.5000, 0.1188, 0.3075).

***

11.
Below is ErCdPt after structural relaxation, with properties calculated at the PBE level.

For the total energy, the calculation gives -4.141 eV/atom. The calculation puts the formation energy at -0.303 eV per atom. Its crystal system is cubic.

The space group is F-43m (No. 216) and the conventional cell measures 6.7022, 6.7022 and 6.7022 Å, with angles of 90.00, 90.00 and 90.00 degrees. The distinct sites, in fractional coordinates, are Er at (0.0000, 0.0000, 0.0000), Cd at (0.2500, 0.2500, 0.7500) and Pt at (0.2500, 0.2500, 0.2500).

***

12.
Below is ErCdPt after structural relaxation, with properties calculated at the PBE level.

For the total energy, the calculation gives -4.638 eV/atom. The calculation puts the formation energy at -0.799 eV per atom. Its crystal system is cubic.

The space group is F-43m (No. 216) and the conventional cell measures 6.6179, 6.6179 and 6.6179 Å, with angles of 90.00, 90.00 and 90.00 degrees. The distinct sites, in fractional coordinates, are Er at (0.0000, 0.0000, 0.0000), Cd at (0.0000, 0.0000, 0.5000) and Pt at (0.2500, 0.2500, 0.7500).

***

13.
Below is RbErCd after structural relaxation, with properties calculated at the PBE level.

For the total energy, the calculation gives -1.413 eV/atom. Its crystal system is cubic.

The space group is F-43m (No. 216) and the conventional cell measures 7.7410, 7.7410 and 7.7410 Å, with angles of 90.00, 90.00 and 90.00 degrees. The distinct sites, in fractional coordinates, are Rb at (0.0000, 0.0000, 0.0000), Er at (0.2500, 0.2500, 0.7500) and Cd at (0.0000, 0.0000, 0.5000).

***

14.
Below is RbErCdS3 after structural relaxation, with properties calculated at the PBE level.

For the total energy, the calculation gives -4.486 eV/atom. Its crystal system is monoclinic.

The space group is C2/m (No. 12) and the conventional cell measures 17.2161, 4.0596 and 8.9832 Å, with angles of 90.00, 102.93 and 90.00 degrees. The distinct sites, in fractional coordinates, are Rb at (0.1473, 0.0000, 0.0648), Er at (0.1698, 0.0000, 0.5794), Cd at (0.0055, 0.5000, 0.7210), S at (0.0000, 0.0000, 0.5000), S at (0.0000, 0.5000, 0.0000), S at (0.1618, 0.5000, 0.7718) and S at (0.1683, 0.5000, 0.3726).

***

15.
Below is RbErCdS3 after structural relaxation, with properties calculated at the PBE level.

For the total energy, the calculation gives -4.533 eV/atom. Its crystal system is monoclinic.

The space group is P2_1/m (No. 11) and the conventional cell measures 8.7073, 4.1171 and 10.1663 Å, with angles of 90.00, 109.47 and 90.00 degrees. The distinct sites, in fractional coordinates, are Rb at (0.2297, 0.2500, 0.2431), Er at (0.3277, 0.7500, 0.8691), Cd at (0.0841, 0.2500, 0.6143), S at (0.1124, 0.2500, 0.8662), S at (0.2272, 0.7500, 0.5572) and S at (0.4702, 0.7500, 0.1428).

***

16.
Below is ErCdRe after structural relaxation, with properties calculated at the PBE level.

For the total energy, the calculation gives -5.010 eV/atom. The calculation puts the formation energy at 0.951 eV per atom. The calculation puts the excess energy over the best structure of this formula in the dataset at 0.00 eV/f.u. Its crystal system is cubic.

The space group is F-43m (No. 216) and the conventional cell measures 6.5423, 6.5423 and 6.5423 Å, with angles of 90.00, 90.00 and 90.00 degrees. The distinct sites, in fractional coordinates, are Er at (0.0000, 0.0000, 0.0000), Cd at (0.2500, 0.2500, 0.2500) and Re at (0.0000, 0.0000, 0.5000).

***

17.
Below is ErCdRe after structural relaxation, with properties calculated at the PBE level.

For the total energy, the calculation gives -4.715 eV/atom. The calculation puts the formation energy at 1.245 eV per atom. The calculation puts the excess energy over the best structure of this formula in the dataset at 0.88 eV/f.u. Its crystal system is cubic.

The space group is F-43m (No. 216) and the conventional cell measures 6.7192, 6.7192 and 6.7192 Å, with angles of 90.00, 90.00 and 90.00 degrees. The distinct sites, in fractional coordinates, are Er at (0.0000, 0.0000, 0.0000), Cd at (0.2500, 0.2500, 0.7500) and Re at (0.2500, 0.2500, 0.2500).

***

18.
Below is ErCdSb after structural relaxation, with properties calculated at the PBE level.

For the total energy, the calculation gives -3.564 eV/atom. The calculation puts the excess energy over the best structure of this formula in the dataset at 0.00 eV/f.u. Its crystal system is cubic.

The space group is F-43m (No. 216) and the conventional cell measures 7.1449, 7.1449 and 7.1449 Å, with angles of 90.00, 90.00 and 90.00 degrees. The distinct sites, in fractional coordinates, are Er at (0.0000, 0.0000, 0.0000), Cd at (0.2500, 0.2500, 0.7500) and Sb at (0.2500, 0.2500, 0.2500).

***

19.
Below is ErCdSb after structural relaxation, with properties calculated at the PBE level.

For the total energy, the calculation gives -3.361 eV/atom. The calculation puts the excess energy over the best structure of this formula in the dataset at 0.61 eV/f.u. Its crystal system is cubic.

The space group is F-43m (No. 216) and the conventional cell measures 7.0623, 7.0623 and 7.0623 Å, with angles of 90.00, 90.00 and 90.00 degrees. The distinct sites, in fractional coordinates, are Er at (0.0000, 0.0000, 0.0000), Cd at (0.0000, 0.0000, 0.5000) and Sb at (0.2500, 0.2500, 0.7500).

***

20.
Below is ErScCd6 after structural relaxation, with properties calculated at the PBE level.

For the total energy, the calculation gives -2.281 eV/atom. The calculation puts the formation energy at -0.248 eV per atom. The calculation puts the excess energy over the best structure of this formula in the dataset at 0.00 eV/f.u. Its crystal system is orthorhombic.

The space group is Amm2 (No. 38) and the conventional cell measures 4.7888, 7.0940 and 10.5558 Å, with angles of 90.00, 90.00 and 90.00 degrees. The distinct sites, in fractional coordinates, are Er at (0.0000, 0.0000, 0.0000), Sc at (0.5000, 0.0000, 0.2616), Cd at (0.0000, 0.0000, 0.4490), Cd at (0.0000, 0.2200, 0.7277), Cd at (0.5000, 0.0000, 0.8066) and Cd at (0.5000, 0.2173, 0.5348).

***

Theoretical density, respectively: 6.3; 8.5; 10.5; 8.4; 8.9; 7.1; 8.6; 8.6; 8.7; 9.6; 10.5; 10.9; 5.2; 5.0; 4.5; 11.1; 10.2; 7.3; 7.6; 8.2 g/cm3.